(1)
This record from Alexandria describes crystalline Li2WS4 at its relaxed geometry. The functional is PBE.

Computed properties:
total magnetization	0.00	μB/cell
uncorrected formation energy	-857	meV per atom

Cell lengths 6.0795, 6.0795, 10.7948 Å; angles 90.00, 90.00, 90.00 degrees
Last column: nearest neighbours and their distance in Å.
Space group I-42m (No. 121)
Inequivalent atoms, fractional coordinates:
Li: 0.0000 0.5000 0.0000 x4  4 S 2.50
W: 0.0000 0.0000 0.0000 x2  4 S 2.21
S: 0.2126 0.2126 0.8846 x8  1 W 2.21

***

(2)
This record from Alexandria describes crystalline YTc2P at its relaxed geometry. The functional is PBE.

Computed properties:
energy	-33.593	eV per cell
total magnetization	0.00	μB/cell

Cell lengths 3.1894, 4.3283, 5.1544 Å; angles 90.00, 105.48, 90.00 degrees
Last column: nearest neighbours and their distance in Å.
Space group Pm (No. 6)
Inequivalent atoms, fractional coordinates:
Y: 0.0000 0.0000 0.0000 x1  2 Tc 2.62-2.77, 2 P 2.91
Tc: 0.2494 0.5000 0.6119 x1  2 P 2.45-2.48, 2 Tc 2.70
Tc: 0.6514 0.0000 0.4790 x1  2 P 2.49, 2 Y 2.62-2.77, 2 Tc 2.70
P: 0.5930 0.5000 0.2337 x1  4 Tc 2.45-2.49

***

(3)
This record from Alexandria describes crystalline Ac4NdSn5 at its relaxed geometry. The functional is PBE.

Computed properties:
energy	-47.412	eV per cell
total magnetization	0.00	μB/cell

Cell lengths 3.7845, 3.7845, 22.9493 Å; angles 90.00, 90.00, 90.00 degrees
Last column: nearest neighbours and their distance in Å.
Space group P4/mmm (No. 123)
Inequivalent atoms, fractional coordinates:
Ac: 0.0000 0.0000 0.1017 x2  8 Sn 3.55, 4 Ac 3.78
Ac: 0.0000 0.0000 0.3052 x2  8 Sn 3.55, 4 Ac 3.78
Nd: 0.0000 0.0000 0.5000 x1  8 Sn 3.42, 4 Nd 3.78
Sn: 0.5000 0.5000 0.0000 x1  8 Ac 3.55, 4 Sn 3.78
Sn: 0.5000 0.5000 0.2034 x2  8 Ac 3.55, 4 Sn 3.78
Sn: 0.5000 0.5000 0.4070 x2  4 Nd 3.42, 4 Ac 3.55, 4 Sn 3.78

***

(4)
This record from Alexandria describes crystalline PmHoErSc at its relaxed geometry. The functional is PBE.

Computed properties:
energy	-79.091	eV per cell
total magnetization	0.00	μB/cell

Cell lengths 7.8452, 7.8452, 7.8452 Å; angles 90.00, 90.00, 90.00 degrees
Last column: nearest neighbours and their distance in Å.
Space group F-43m (No. 216)
Inequivalent atoms, fractional coordinates:
Pm: 0.0000 0.0000 0.0000 x4  4 Er 3.40, 4 Sc 3.40
Ho: 0.0000 0.0000 0.5000 x4  4 Er 3.40, 4 Sc 3.40
Er: 0.2500 0.2500 0.2500 x4  4 Ho 3.40, 4 Pm 3.40
Sc: 0.2500 0.2500 0.7500 x4  4 Ho 3.40, 4 Pm 3.40

***

(5)
This record from Alexandria describes crystalline In2Sn4Pb3 at its relaxed geometry. The functional is PBE.

Computed properties:
energy	-64.465	eV per cell
total magnetization	0.00	μB/cell

Cell lengths 10.1886, 5.8051, 8.9514 Å; angles 90.00, 99.45, 90.00 degrees
Last column: nearest neighbours and their distance in Å.
Space group C2/m (No. 12)
Inequivalent atoms, fractional coordinates:
In: 0.2246 0.0000 0.3399 x4  5 Sn 3.24-3.43, 5 Pb 3.33-3.50
Sn: 0.1110 0.0000 0.6571 x4  4 In 3.24-3.42, 2 Sn 3.31-3.42, 4 Pb 3.35-3.44
Sn: 0.1732 0.5000 0.0070 x4  5 Pb 3.27-3.40, 4 Sn 3.31-3.51, 1 In 3.43
Pb: 0.0000 0.0000 0.0000 x2  8 Sn 3.34-3.44, 2 In 3.49
Pb: 0.0487 0.5000 0.3215 x4  5 Sn 3.27-3.44, 4 In 3.33-3.50, 1 Pb 3.50

***

(6)
This record from Alexandria describes crystalline Tl4In5Sn at its relaxed geometry. The functional is PBE.

Computed properties:
energy	-26.799	eV per cell
total magnetization	0.00	μB/cell

Cell lengths 3.5739, 3.5739, 22.3921 Å; angles 90.00, 90.00, 90.00 degrees
Last column: nearest neighbours and their distance in Å.
Space group P4/mmm (No. 123)
Inequivalent atoms, fractional coordinates:
Tl: 0.0000 0.0000 0.0998 x2  8 In 3.37-3.40, 4 Tl 3.57
Tl: 0.0000 0.0000 0.3024 x2  8 In 3.39-3.42, 4 Tl 3.57
In: 0.5000 0.5000 0.0000 x1  8 Tl 3.37, 4 In 3.57
In: 0.5000 0.5000 0.2017 x2  8 Tl 3.39-3.40, 4 In 3.57
In: 0.5000 0.5000 0.4053 x2  4 Sn 3.30, 4 Tl 3.42, 4 In 3.57
Sn: 0.0000 0.0000 0.5000 x1  8 In 3.30, 4 Sn 3.57

***

(7)
This record from Alexandria describes crystalline CaPr2Dy4 at its relaxed geometry. The functional is PBE.

Computed properties:
energy	-56.618	eV per cell
total magnetization	0.01	μB/cell

Cell lengths 8.5912, 8.5912, 6.6629 Å; angles 90.00, 90.00, 90.00 degrees
Last column: nearest neighbours and their distance in Å.
Space group I4/mmm (No. 139)
Inequivalent atoms, fractional coordinates:
Ca: 0.0000 0.0000 0.0000 x2  4 Dy 3.66
Pr: 0.0000 0.5000 0.2500 x4  2 Pr 3.33, 8 Dy 3.52
Dy: 0.1987 0.1987 0.5000 x8  4 Dy 3.41-3.56, 4 Pr 3.52, 1 Ca 3.66

***

(8)
This record from Alexandria describes crystalline MnZn2 at its relaxed geometry. The functional is PBE.

Computed properties:
energy	-45.821	eV per cell
total magnetization	11.77	μB/cell

Cell lengths 2.6990, 2.6990, 24.0888 Å; angles 90.00, 90.00, 90.00 degrees
Last column: nearest neighbours and their distance in Å.
Space group I4_1/amd (No. 141, origin choice 2)
Inequivalent atoms, fractional coordinates:
Mn: 0.0000 0.2500 0.3750 x4  8 Zn 2.66, 4 Mn 2.70
Zn: 0.0000 0.2500 0.7982 x8  4 Mn 2.66, 6 Zn 2.68-2.70